Record 1
# PBE AlCr4Te, relaxed
data_AlCr4Te
_chemical_formula_sum 'Al1 Cr4 Te1'
_cell_length_a 4.908
_cell_length_b 4.908
_cell_length_c 4.908
_cell_angle_alpha 60.00
_cell_angle_beta 60.00
_cell_angle_gamma 60.00
_symmetry_space_group_name_H-M 'P 1'
_symmetry_Int_Tables_number 1
loop_
_symmetry_equiv_pos_as_xyz
'x,y,z'
loop_
_atom_site_label
_atom_site_fract_x
_atom_site_fract_y
_atom_site_fract_z
Al1 0.000 0.000 0.000
Cr1 0.374 0.374 0.374
Cr2 0.374 0.374 0.878
Cr3 0.374 0.878 0.374
Cr4 0.878 0.374 0.374
Te1 0.750 0.750 0.750
# * magnetic moment: 0.00 μB per formula unit
# * formation energy from raw total energies: 0.37 eV/atom

***

Record 2
# PBE AlCr2Te, relaxed
data_AlCr2Te
_chemical_formula_sum 'Al4 Cr8 Te4'
_cell_length_a 3.946
_cell_length_b 3.946
_cell_length_c 17.763
_cell_angle_alpha 90.00
_cell_angle_beta 90.00
_cell_angle_gamma 90.00
_symmetry_space_group_name_H-M 'P 1'
_symmetry_Int_Tables_number 1
loop_
_symmetry_equiv_pos_as_xyz
'x,y,z'
loop_
_atom_site_label
_atom_site_fract_x
_atom_site_fract_y
_atom_site_fract_z
Al1 0.000 0.000 0.000
Al2 0.000 0.500 0.250
Al3 0.500 0.000 0.750
Al4 0.500 0.500 0.500
Cr1 0.166 0.250 0.125
Cr2 0.250 0.666 0.375
Cr3 0.250 0.834 0.875
Cr4 0.334 0.250 0.625
Cr5 0.666 0.750 0.625
Cr6 0.750 0.166 0.875
Cr7 0.750 0.334 0.375
Cr8 0.834 0.750 0.125
Te1 0.000 0.000 0.500
Te2 0.000 0.500 0.750
Te3 0.500 0.000 0.250
Te4 0.500 0.500 0.000
# * magnetic moment: 0.00 μB per formula unit
# * energy above the most stable polymorph in this dataset: 422 meV/atom
# * formation energy from raw total energies: 0.62 eV/atom

***

Record 3
# PBE AlCrTe, relaxed
data_AlCrTe
_chemical_formula_sum 'Al2 Cr2 Te2'
_cell_length_a 3.153
_cell_length_b 3.153
_cell_length_c 11.540
_cell_angle_alpha 90.00
_cell_angle_beta 90.00
_cell_angle_gamma 90.00
_symmetry_space_group_name_H-M 'P 1'
_symmetry_Int_Tables_number 1
loop_
_symmetry_equiv_pos_as_xyz
'x,y,z'
loop_
_atom_site_label
_atom_site_fract_x
_atom_site_fract_y
_atom_site_fract_z
Al1 0.000 0.000 0.000
Al2 0.500 0.500 0.500
Cr1 0.000 0.000 0.375
Cr2 0.500 0.500 0.875
Te1 0.000 0.000 0.744
Te2 0.500 0.500 0.244
# * magnetic moment: 0.99 μB per formula unit
# * energy above the most stable polymorph in this dataset: 29 meV/atom
# * formation energy from raw total energies: 0.26 eV/atom

***

Record 4
# PBE AlCrTe3, relaxed
data_AlCrTe3
_chemical_formula_sum 'Al1 Cr1 Te3'
_cell_length_a 5.224
_cell_length_b 5.224
_cell_length_c 5.224
_cell_angle_alpha 90.00
_cell_angle_beta 90.00
_cell_angle_gamma 90.00
_symmetry_space_group_name_H-M 'P 1'
_symmetry_Int_Tables_number 1
loop_
_symmetry_equiv_pos_as_xyz
'x,y,z'
loop_
_atom_site_label
_atom_site_fract_x
_atom_site_fract_y
_atom_site_fract_z
Al1 0.000 0.000 0.000
Cr1 0.500 0.500 0.500
Te1 0.000 0.000 0.500
Te2 0.000 0.500 0.000
Te3 0.500 0.000 0.000
# * magnetic moment: 0.66 μB per formula unit
# * energy above the most stable polymorph in this dataset: 1312 meV/atom
# * formation energy from raw total energies: 1.04 eV/atom